# Sr3ScCu GGA-PBE optimized geometry
data_Sr3ScCu
_cell_length_a 6.3187
_cell_length_b 6.3187
_cell_length_c 6.3187
_cell_angle_alpha 90.00
_cell_angle_beta 90.00
_cell_angle_gamma 90.00
_space_group_name_H-M_alt 'P m -3 m'
_space_group_IT_number 221
_space_group_name_Hall '-P 4 2 3'
loop_
_atom_site_label
_atom_site_fract_x
_atom_site_fract_y
_atom_site_fract_z
Sr1 0.0000 0.0000 0.5000
Sc1 0.0000 0.0000 0.0000
Cu1 0.5000 0.5000 0.5000
# DOS at the Fermi energy, states/eV/f.u.: 3.8
# Calculated density, Mg/m³: 2.4
# Magnetization, Bohr magnetons per cell: 3.6
# ΔH_f (0 K), eV per atom: 0.954

---

# SrScCu2 GGA-PBE optimized geometry
data_SrScCu2
_cell_length_a 7.5608
_cell_length_b 7.5608
_cell_length_c 7.0466
_cell_angle_alpha 90.00
_cell_angle_beta 90.00
_cell_angle_gamma 90.00
_space_group_name_H-M_alt 'I -4 2 d'
_space_group_IT_number 122
_space_group_name_Hall 'I -4 2bw'
loop_
_atom_site_label
_atom_site_fract_x
_atom_site_fract_y
_atom_site_fract_z
Sr1 0.0000 0.0000 0.0000
Sc1 0.0000 0.0000 0.5000
Cu1 0.2032 0.2500 0.6250
# DOS at the Fermi energy, states/eV/f.u.: 3.7
# Calculated density, Mg/m³: 4.3
# Magnetization, Bohr magnetons per cell: 0.0
# ΔH_f (0 K), eV per atom: 0.299